1.
Density functional theory data (PBE) for crystalline HoMg at its relaxed geometry.

Structure (POSCAR):
```
HoMg
1.0
6.071 0.000 0.000
0.000 9.959 0.000
0.000 0.000 5.384
Ho Mg
6 6
Cartesian
1.774 6.513 2.692 Ho
4.809 5.105 2.692 Ho
5.196 1.768 2.692 Ho
2.161 9.850 2.692 Ho
3.147 1.714 0.000 Ho
0.111 9.904 0.000 Ho
2.011 3.283 2.692 Mg
5.975 6.642 0.000 Mg
0.109 3.461 0.000 Mg
3.144 8.157 0.000 Mg
2.940 4.977 0.000 Mg
5.047 8.336 2.692 Mg
```

Results
SG: Pmc2_1 (26)
E in eV/atom: -3.044


2.
Density functional theory data (PBE) for crystalline Sc2NiB at its relaxed geometry.

Structure (POSCAR):
```
Sc2NiB
1.0
-2.026 -2.320 1.292
2.061 -0.792 -2.506
9.424 -3.329 8.803
Sc Ni B
4 2 2
Cartesian
4.364 -2.596 2.184 Sc
7.713 -4.769 7.851 Sc
5.095 -3.845 5.406 Sc
1.746 -1.671 -0.262 Sc
1.692 -2.643 2.227 Ni
7.767 -3.798 5.362 Ni
0.000 0.000 0.000 B
4.712 -1.664 4.402 B
```

Results
SG: P6_3/mmc (194)
E in eV/atom: -6.266


3.
Density functional theory data (PBE) for crystalline BaZrNp at its relaxed geometry.

Structure (POSCAR):
```
BaZrNp
1.0
0.054 -0.358 5.317
2.091 3.942 2.915
-3.177 3.133 2.914
Np Ba Zr
1 1 1
Cartesian
-0.774 5.038 8.360 Np
-0.258 1.679 2.787 Ba
0.000 0.000 0.000 Zr
```

Results
Energy above the lowest structure with this stoichiometry in meV per atom: 0
SG: F-43m (216)
E in eV/atom: -6.284


4.
Density functional theory data (PBE) for crystalline CuNi2Hg2 at its relaxed geometry.

Structure (POSCAR):
```
CuNi2Hg2
1.0
-2.357 2.995 -2.034
-3.910 -0.515 -1.764
-1.957 1.250 4.982
Cu Ni Hg
1 2 2
Cartesian
-3.133 1.240 -1.899 Cu
-5.381 2.189 -2.485 Ni
-2.843 1.541 3.670 Ni
-6.653 2.943 -0.010 Hg
-1.571 0.787 1.195 Hg
```

Results
SG: C2/m (12)
E in eV/atom: -2.899
Formation energy in eV/atom: 0.191


5.
Density functional theory data (PBE) for crystalline Fe2SnGeAs4 at its relaxed geometry.

Structure (POSCAR):
```
Fe2SnGeAs4
1.0
-2.837 2.837 5.737
2.837 -2.837 5.737
2.837 2.837 -5.737
As Sn Fe Ge
4 1 2 1
Cartesian
-1.150 1.324 4.222 As
1.324 1.150 7.253 As
3.987 1.513 -1.515 As
1.513 1.687 1.515 As
0.000 0.000 0.000 Sn
0.000 2.837 2.869 Fe
0.000 0.000 5.737 Fe
2.837 0.000 2.869 Ge
```

Results
SG: I-4 (82)
E in eV/atom: -5.367


6.
Density functional theory data (PBE) for crystalline ScNbIr at its relaxed geometry.

Structure (POSCAR):
```
ScNbIr
1.0
0.000 3.130 3.130
3.130 0.000 3.130
3.130 3.130 0.000
Nb Sc Ir
1 1 1
Cartesian
1.565 1.565 1.565 Nb
4.695 4.695 4.695 Sc
0.000 0.000 0.000 Ir
```

Results
Energy above the lowest structure with this stoichiometry in meV per atom: 0
SG: F-43m (216)
E in eV/atom: -8.773
Formation energy in eV/atom: -0.347


7.
Density functional theory data (PBE) for crystalline ZrAlAsO at its relaxed geometry.

Structure (POSCAR):
```
ZrAlAsO
1.0
3.636 0.000 0.000
0.000 5.433 0.000
0.000 0.000 6.577
As Al O Zr
2 2 2 2
Cartesian
0.000 3.877 2.048 As
0.000 1.556 5.336 As
0.000 4.557 5.978 Al
0.000 0.876 2.690 Al
1.818 1.242 2.766 O
1.818 4.192 6.054 O
1.818 2.248 0.744 Zr
1.818 3.185 4.032 Zr
```

Results
Energy above the lowest structure with this stoichiometry in meV per atom: 0
SG: Pmc2_1 (26)
E in eV/atom: -6.854


8.
Density functional theory data (PBE) for crystalline Nb4TlS5F at its relaxed geometry.

Structure (POSCAR):
```
Nb4TlS5F
1.0
4.887 0.000 0.000
0.000 4.887 0.000
0.000 0.000 8.561
F Nb S Tl
1 4 5 1
Cartesian
0.000 0.000 4.280 F
0.000 2.443 0.000 Nb
2.443 0.000 0.000 Nb
0.000 0.000 1.974 Nb
0.000 0.000 6.587 Nb
2.443 2.443 0.000 S
0.000 2.443 2.433 S
2.443 0.000 2.433 S
0.000 2.443 6.128 S
2.443 0.000 6.128 S
2.443 2.443 4.280 Tl
```

Results
SG: P4/mmm (123)
E in eV/atom: -6.876